Density functional theory data (PBE-GGA) for CeMg after structural relaxation.

```
CeMg
1.0
3.135 0.000 0.000
-1.567 2.715 0.000
0.000 0.000 17.429
Ce Mg
3 3
Direct
0.000 0.000 0.000
0.000 0.000 0.340
0.333 0.667 0.828
0.000 0.000 0.660
0.333 0.667 0.170
0.333 0.667 0.509
```

Properties
magnetic moment	0.0	μB/f.u.
DFT formation energy	32	meV per atom



Density functional theory data (PBE-GGA) for Ta2Ti5Sb after structural relaxation.

```
Ta2Ti5Sb
1.0
-3.508 3.508 5.933
3.508 -3.508 5.933
3.508 3.508 -5.933
Ta Ti Sb
4 10 2
Direct
0.156 0.656 0.812
0.344 0.156 0.500
0.656 0.844 0.500
0.844 0.344 0.188
0.000 0.000 0.000
0.011 0.806 0.500
0.194 0.694 0.205
0.306 0.511 0.500
0.489 0.989 0.795
0.500 0.500 0.000
0.511 0.011 0.205
0.694 0.489 0.500
0.806 0.306 0.795
0.989 0.194 0.500
0.250 0.250 0.000
0.750 0.750 0.000
```

Properties
magnetic moment	0.0	μB/f.u.
uncorrected formation energy	0.056	eV per atom



Density functional theory data (PBE-GGA) for K2MnPdCl6 after structural relaxation.

```
K2MnPdCl6
1.0
0.000 4.990 4.990
4.990 0.000 4.990
4.990 4.990 0.000
K Mn Pd Cl
2 1 1 6
Direct
0.250 0.250 0.250
0.750 0.750 0.750
0.000 0.000 0.000
0.500 0.500 0.500
0.244 0.244 0.756
0.244 0.756 0.244
0.244 0.756 0.756
0.756 0.244 0.244
0.756 0.244 0.756
0.756 0.756 0.244
```

Properties
magnetic moment	3.0	μB/f.u.
uncorrected formation energy	-1.237	eV per atom



Density functional theory data (PBE-GGA) for KRb2CdAu after structural relaxation.

```
KRb2CdAu
1.0
6.965 0.000 0.000
0.000 6.965 0.000
0.000 0.000 5.442
K Rb Cd Au
1 2 1 1
Direct
0.000 0.000 0.000
0.000 0.500 0.500
0.500 0.000 0.500
0.500 0.500 0.500
0.500 0.500 0.000
```

Properties
magnetic moment	0.0	μB/f.u.
DFT formation energy	6	meV per atom
distance to the lowest polymorph of the same formula	51.0	kJ/mol of formula units



Density functional theory data (PBE-GGA) for Li4In2Ga after structural relaxation.

```
Li4In2Ga
1.0
2.390 1.380 6.769
-2.390 1.380 6.769
0.000 -2.760 6.769
Li In Ga
4 2 1
Direct
0.078 0.078 0.078
0.365 0.365 0.365
0.635 0.635 0.635
0.922 0.922 0.922
0.226 0.226 0.226
0.774 0.774 0.774
0.500 0.500 0.500
```

Properties
magnetic moment	0.0	μB/f.u.
DFT formation energy	-202	meV per atom



Density functional theory data (PBE-GGA) for Ac4Ce3PrS8 after structural relaxation.

```
Ac4Ce3PrS8
1.0
4.171 2.408 6.861
-4.171 2.408 6.861
0.000 -4.816 6.861
Ac Ce Pr S
4 3 1 8
Direct
0.000 0.000 0.000
0.000 0.500 0.500
0.500 0.000 0.500
0.500 0.500 0.000
0.000 0.000 0.500
0.000 0.500 0.000
0.500 0.000 0.000
0.500 0.500 0.500
0.242 0.746 0.746
0.244 0.244 0.244
0.254 0.254 0.758
0.254 0.758 0.254
0.746 0.242 0.746
0.746 0.746 0.242
0.756 0.756 0.756
0.758 0.254 0.254
```

Properties
magnetic moment	2.6	μB/f.u.
uncorrected formation energy	-2.007	eV per atom



Density functional theory data (PBE-GGA) for Mn2InN after structural relaxation.

```
Mn2InN
1.0
3.007 0.000 0.000
-1.504 2.604 0.000
0.000 0.000 18.860
Mn In N
6 3 3
Direct
0.000 0.000 0.213
0.000 0.000 0.787
0.333 0.667 0.454
0.333 0.667 0.880
0.667 0.333 0.120
0.667 0.333 0.546
0.000 0.000 0.000
0.333 0.667 0.667
0.667 0.333 0.333
0.000 0.000 0.500
0.333 0.667 0.167
0.667 0.333 0.833
```

Properties
magnetic moment	0.0	μB/f.u.
uncorrected formation energy	-0.036	eV per atom



Density functional theory data (PBE-GGA) for Re2Rh3 after structural relaxation.

```
Re2Rh3
1.0
9.395 0.000 0.000
0.000 4.096 0.000
0.000 0.000 8.190
Re Rh
8 12
Direct
0.046 0.250 0.166
0.196 0.250 0.434
0.304 0.750 0.934
0.454 0.750 0.666
0.546 0.250 0.334
0.696 0.250 0.066
0.804 0.750 0.566
0.954 0.750 0.834
0.028 0.750 0.366
0.147 0.250 0.875
0.183 0.750 0.640
0.317 0.250 0.140
0.353 0.750 0.375
0.472 0.250 0.866
0.528 0.750 0.134
0.647 0.250 0.625
0.683 0.750 0.860
0.817 0.250 0.360
0.853 0.750 0.125
0.972 0.250 0.634
```

Properties
magnetic moment	0.0	μB/f.u.
DFT formation energy	274	meV per atom
distance to the lowest polymorph of the same formula	187.4	kJ/mol of formula units



Density functional theory data (PBE-GGA) for AgSb2Os after structural relaxation.

```
AgSb2Os
1.0
6.873 0.000 0.000
0.000 6.873 0.000
0.000 0.000 6.873
Ag Sb Os
4 8 4
Direct
0.000 0.000 0.000
0.000 0.500 0.500
0.500 0.000 0.500
0.500 0.500 0.000
0.000 0.000 0.500
0.000 0.500 0.000
0.250 0.250 0.750
0.250 0.750 0.250
0.500 0.000 0.000
0.500 0.500 0.500
0.750 0.250 0.250
0.750 0.750 0.750
0.250 0.250 0.250
0.250 0.750 0.750
0.750 0.250 0.750
0.750 0.750 0.250
```

Properties
magnetic moment	0.0	μB/f.u.
distance to the lowest polymorph of the same formula	207.5	kJ/mol of formula units
uncorrected formation energy	0.857	eV per atom



| no. | electronic total energy (eV per atom) |
| --- | --- |
| 1 | -3.73 |
| 2 | -8.36 |
| 3 | -4.00 |
| 4 | -1.44 |
| 5 | -2.51 |
| 6 | -6.51 |
| 7 | -7.39 |
| 8 | -9.12 |
| 9 | -4.72 |